DFT (GGA-PBE) results for an optimized crystal structure of CdCuTc4.

Structure (POSCAR):
```
CdCuTc4
1.0
0.000 3.650 3.650
3.650 0.000 3.650
3.650 3.650 0.000
Cd Cu Tc
1 1 4
direct
0.750 0.750 0.750
0.000 0.000 0.000
0.876 0.374 0.374
0.374 0.374 0.876
0.374 0.876 0.374
0.374 0.374 0.374
```

Results
DFT total energy: -0.5289 Ry per atom
Calculated formation energy: 0.5495 eV/atom

DFT (GGA-PBE) results for an optimized crystal structure of CdCuTc.

Structure (POSCAR):
```
CdCuTc
1.0
4.228 0.000 0.000
2.114 3.661 0.000
2.114 1.220 3.452
Cd Cu Tc
1 1 1
direct
0.500 0.500 0.500
0.750 0.750 0.750
0.000 0.000 0.000
```

Results
Offset from the most stable computed form: 402 meV per atom
DFT total energy: -0.3226 Ry per atom
Calculated formation energy: 0.7359 eV/atom

DFT (GGA-PBE) results for an optimized crystal structure of Cd2CuTc.

Structure (POSCAR):
```
Cd2CuTc
1.0
9.516 0.004 0.002
9.081 2.845 0.002
9.081 1.391 2.482
Cd Cu Tc
2 1 1
direct
0.997 0.997 0.997
0.503 0.503 0.503
0.250 0.250 0.250
0.750 0.750 0.750
```

Results
Offset from the most stable computed form: 19 meV per atom
DFT total energy: -0.2761 Ry per atom
Calculated formation energy: 0.3167 eV/atom

DFT (GGA-PBE) results for an optimized crystal structure of Cd2CuTc.

Structure (POSCAR):
```
Cd2CuTc
1.0
5.494 0.107 0.505
4.750 2.763 0.505
1.731 0.485 4.788
Cd Cu Tc
2 1 1
direct
0.991 0.991 0.079
0.761 0.761 0.668
0.514 0.514 0.570
0.234 0.234 0.184
```

Results
Offset from the most stable computed form: 21 meV per atom
DFT total energy: -0.2759 Ry per atom
Calculated formation energy: 0.3189 eV/atom

DFT (GGA-PBE) results for an optimized crystal structure of Cd2Cu2Tc.

Structure (POSCAR):
```
Cd2Cu2Tc
1.0
-2.323 7.112 -0.951
-4.090 -2.134 -5.966
-2.194 -0.492 1.680
Tc Cu Cd
2 4 4
direct
0.000 0.000 0.000
0.500 0.500 0.000
0.383 0.883 0.000
0.883 0.617 0.000
0.617 0.117 0.000
0.117 0.383 0.000
0.180 0.680 0.500
0.680 0.820 0.500
0.820 0.320 0.500
0.320 0.180 0.500
```

Results
DFT total energy: -0.2698 Ry per atom
Calculated formation energy: 0.4064 eV/atom

DFT (GGA-PBE) results for an optimized crystal structure of Cd2CuTc.

Structure (POSCAR):
```
Cd2CuTc
1.0
-6.427 0.568 0.256
2.197 -4.461 -0.945
-1.234 -1.087 2.273
Cd Cu Tc
2 1 1
direct
0.000 0.000 0.000
0.500 0.000 0.500
0.000 0.500 0.500
0.500 0.500 0.000
```

Results
Offset from the most stable computed form: 36 meV per atom
DFT total energy: -0.2748 Ry per atom
Calculated formation energy: 0.3337 eV/atom

DFT (GGA-PBE) results for an optimized crystal structure of Cd2CuTc.

Structure (POSCAR):
```
Cd2CuTc
1.0
-1.390 -1.159 -4.586
-4.290 -2.395 0.399
1.391 4.338 1.885
Cd Cu Tc
2 1 1
direct
0.000 0.000 0.000
0.250 0.750 0.500
0.500 0.500 0.000
0.750 0.250 0.500
```

Results
Offset from the most stable computed form: 170 meV per atom
DFT total energy: -0.2650 Ry per atom
Calculated formation energy: 0.4676 eV/atom

DFT (GGA-PBE) results for an optimized crystal structure of Cd2CuTc.

Structure (POSCAR):
```
Cd2CuTc
1.0
-1.392 -1.070 4.000
2.459 -1.175 0.541
3.234 4.247 2.262
Cd Cu Tc
2 1 1
direct
0.000 0.033 0.988
0.500 0.379 0.259
0.000 0.387 0.529
0.500 0.701 0.724
```

Results
Offset from the most stable computed form: 80 meV per atom
DFT total energy: -0.2716 Ry per atom
Calculated formation energy: 0.3779 eV/atom

DFT (GGA-PBE) results for an optimized crystal structure of Cd2CuTc.

Structure (POSCAR):
```
Cd2CuTc
1.0
-3.498 7.890 4.580
-3.407 6.107 6.823
-1.068 7.582 6.069
Cd Cu Tc
2 1 1
direct
0.007 0.007 0.007
0.241 0.241 0.241
0.494 0.494 0.494
0.757 0.757 0.757
```

Results
Offset from the most stable computed form: 0 meV per atom
DFT total energy: -0.2775 Ry per atom
Calculated formation energy: 0.2979 eV/atom

DFT (GGA-PBE) results for an optimized crystal structure of Cd2CuTc.

Structure (POSCAR):
```
Cd2CuTc
1.0
-4.395 -0.941 -3.222
-1.476 -5.227 -1.043
0.783 4.096 3.633
Cd Cu Tc
2 1 1
direct
0.982 0.982 0.000
0.518 0.518 0.000
0.750 0.250 0.500
0.250 0.750 0.500
```

Results
Offset from the most stable computed form: 123 meV per atom
DFT total energy: -0.2684 Ry per atom
Calculated formation energy: 0.4207 eV/atom

DFT (GGA-PBE) results for an optimized crystal structure of CdCuTc.

Structure (POSCAR):
```
CdCuTc
1.0
-0.567 -1.770 -2.077
0.677 -0.979 2.520
-6.710 0.025 1.811
Cd Cu Tc
1 1 1
direct
0.000 0.000 0.007
0.333 0.667 0.345
0.667 0.333 0.647
```

Results
Offset from the most stable computed form: 5 meV per atom
DFT total energy: -0.3518 Ry per atom
Calculated formation energy: 0.3393 eV/atom

DFT (GGA-PBE) results for an optimized crystal structure of Cd2CuTc.

Structure (POSCAR):
```
Cd2CuTc
1.0
2.824 0.000 0.000
0.000 3.985 0.000
0.000 0.000 6.040
Cd Cu Tc
2 1 1
direct
0.000 0.000 0.980
0.500 0.500 0.268
0.000 0.000 0.523
0.500 0.500 0.729
```

Results
Offset from the most stable computed form: 83 meV per atom
DFT total energy: -0.2713 Ry per atom
Calculated formation energy: 0.3813 eV/atom